Record 1
Entry from the Alexandria database: a relaxed Cu4WBr crystal (PBE-GGA).

Properties
total energy: -4.375 eV per atom
ΔE_f (raw): 794 meV per atom

abc: 4.9891 4.9891 4.9891
angles: 60.00 60.00 60.00
Last column: nearest neighbours and their distance in Å.
Positions (direct):
Cu1 0.1241 0.1241 0.1241  6 Cu 2.48-2.51
Cu2 0.1241 0.1241 0.6278  6 Cu 2.48-2.51
Cu3 0.1241 0.6278 0.1241  6 Cu 2.48-2.51
Cu4 0.6278 0.1241 0.1241  6 Cu 2.48-2.51
W1 0.7500 0.7500 0.7500  12 Cu 2.92, 4 Br 3.06
Br1 0.5000 0.5000 0.5000  12 Cu 2.93, 4 W 3.06

Record 2
Entry from the Alexandria database: a relaxed BaNaAs3 crystal (PBE-GGA).

Properties
total energy: -3.367 eV per atom
formation energy: 71 meV per atom

abc: 5.1922 5.1922 5.1922
angles: 90.00 90.00 90.00
Last column: nearest neighbours and their distance in Å.
Positions (direct):
Ba1 0.0000 0.0000 0.0000  12 As 3.67
Na1 0.5000 0.5000 0.5000  6 As 2.60
As1 0.0000 0.5000 0.5000  2 Na 2.60
As2 0.5000 0.0000 0.5000  2 Na 2.60
As3 0.5000 0.5000 0.0000  2 Na 2.60

Record 3
Entry from the Alexandria database: a relaxed Mn2ZnSi crystal (PBE-GGA).

Properties
total energy: -6.306 eV per atom
ΔE_f (raw): -47 meV per atom

abc: 4.7625 4.7625 4.7625
angles: 135.76 135.76 64.35
Last column: nearest neighbours and their distance in Å.
Positions (direct):
Mn1 0.0000 0.0000 0.0000  4 Zn 2.54, 4 Mn 2.70, 4 Si 2.70
Mn2 0.7500 0.2500 0.5000  4 Si 2.54, 4 Zn 2.70, 4 Mn 2.70
Zn1 0.5000 0.5000 0.0000  8 Mn 2.54-2.70, 4 Si 2.70
Si1 0.2500 0.7500 0.5000  8 Mn 2.54-2.70, 4 Zn 2.70

Among the records above, which one has the lowest total energy?
Mn2ZnSi

Repeat the second record exactly.
Entry from the Alexandria database: a relaxed BaNaAs3 crystal (PBE-GGA).

Properties
total energy: -3.367 eV per atom
formation energy: 71 meV per atom

abc: 5.1922 5.1922 5.1922
angles: 90.00 90.00 90.00
Last column: nearest neighbours and their distance in Å.
Positions (direct):
Ba1 0.0000 0.0000 0.0000  12 As 3.67
Na1 0.5000 0.5000 0.5000  6 As 2.60
As1 0.0000 0.5000 0.5000  2 Na 2.60
As2 0.5000 0.0000 0.5000  2 Na 2.60
As3 0.5000 0.5000 0.0000  2 Na 2.60

Among the records above, which one has the highest total energy?
BaNaAs3

What did the first record say?
Entry from the Alexandria database: a relaxed Cu4WBr crystal (PBE-GGA).

Properties
total energy: -4.375 eV per atom
ΔE_f (raw): 794 meV per atom

abc: 4.9891 4.9891 4.9891
angles: 60.00 60.00 60.00
Last column: nearest neighbours and their distance in Å.
Positions (direct):
Cu1 0.1241 0.1241 0.1241  6 Cu 2.48-2.51
Cu2 0.1241 0.1241 0.6278  6 Cu 2.48-2.51
Cu3 0.1241 0.6278 0.1241  6 Cu 2.48-2.51
Cu4 0.6278 0.1241 0.1241  6 Cu 2.48-2.51
W1 0.7500 0.7500 0.7500  12 Cu 2.92, 4 Br 3.06
Br1 0.5000 0.5000 0.5000  12 Cu 2.93, 4 W 3.06